(1)
First-principles (PBE) data for a geometry-optimized Sm2Y4ErSc structure, as listed in the Alexandria database. Values from VASP.

Summary:
**M_tot**: 0.000 μB per cell
**VASP energy**: -45.96 eV per formula unit
**Energy relative to the elements**: 0.23 eV/f.u.
**Space group**: P2/m

Cell and atoms, written as Quantum ESPRESSO input:
```
&SYSTEM
  ibrav = 0, nat = 8, ntyp = 4
/
ATOMIC_SPECIES
Sm 150.36 Sm.upf
Y 88.91 Y.upf
Er 167.26 Er.upf
Sc 44.96 Sc.upf
CELL_PARAMETERS angstrom
-3.490 -2.655 2.431
2.094 1.258 4.380
-3.733 9.342 4.842
ATOMIC_POSITIONS crystal
Sm 0.000 0.000 0.000
Sm 0.500 0.000 0.500
Y 0.000 0.756 0.746
Y 0.000 0.244 0.254
Y 0.500 0.744 0.254
Y 0.500 0.256 0.746
Er 0.500 0.500 0.000
Sc 0.000 0.500 0.500
```

(2)
First-principles (PBE) data for a geometry-optimized Sm6Y2ErSc structure, as listed in the Alexandria database. Values from VASP.

Summary:
**M_tot**: 0.000 μB per cell
**VASP energy**: -49.74 eV per formula unit
**Energy relative to the elements**: 2.39 eV/f.u.
**Space group**: C2/m

Cell and atoms, written as Quantum ESPRESSO input:
```
&SYSTEM
  ibrav = 0, nat = 10, ntyp = 4
/
ATOMIC_SPECIES
Sm 150.36 Sm.upf
Y 88.91 Y.upf
Er 167.26 Er.upf
Sc 44.96 Sc.upf
CELL_PARAMETERS angstrom
8.759 0.000 1.422
0.000 7.590 0.000
-1.814 -3.795 4.701
ATOMIC_POSITIONS crystal
Sm 0.441 0.654 0.308
Sm 0.218 0.082 0.733
Sm 0.782 0.349 0.267
Sm 0.218 0.651 0.733
Sm 0.782 0.918 0.267
Sm 0.559 0.346 0.692
Y 0.140 0.134 0.268
Y 0.860 0.866 0.732
Er 0.000 0.500 0.000
Sc 0.500 0.000 0.000
```

(3)
First-principles (PBE) data for a geometry-optimized SmY2Er6Sc3 structure, as listed in the Alexandria database. Values from VASP.

Summary:
**M_tot**: 0.000 μB per cell
**VASP energy**: -63.46 eV per formula unit
**Energy relative to the elements**: 0.56 eV/f.u.
**Space group**: C2/m

Cell and atoms, written as Quantum ESPRESSO input:
```
&SYSTEM
  ibrav = 0, nat = 12, ntyp = 4
/
ATOMIC_SPECIES
Sm 150.36 Sm.upf
Y 88.91 Y.upf
Er 167.26 Er.upf
Sc 44.96 Sc.upf
CELL_PARAMETERS angstrom
-0.386 -5.182 3.043
3.803 0.486 -4.643
6.968 5.069 7.536
ATOMIC_POSITIONS crystal
Sm 0.000 0.000 0.000
Y 0.333 0.667 0.000
Y 0.667 0.333 0.000
Er 0.913 0.580 0.739
Er 0.754 0.754 0.261
Er 0.087 0.420 0.261
Er 0.580 0.913 0.739
Er 0.246 0.246 0.739
Er 0.420 0.087 0.261
Sc 0.167 0.833 0.500
Sc 0.833 0.167 0.500
Sc 0.500 0.500 0.500
```